{"formula": "AcGeHPt6", "functional": "PBE-GGA", "state": "relaxed", "space_group": "No. 74", "energy_ev_per_atom": -5.73, "dos_at_fermi_per_ev_atom": 0.4109, "lattice_angstrom": [[-3.6720, 3.9696, 5.6307], [3.6720, -3.9696, 5.6307], [3.6720, 3.9696, -5.6307]], "species": ["Ac", "Ac", "Ge", "Ge", "H", "H", "Pt", "Pt", "Pt", "Pt", "Pt", "Pt", "Pt", "Pt", "Pt", "Pt", "Pt", "Pt"], "frac_coords": [[0.4238, 0.1738, 0.2500], [0.5762, 0.8262, 0.7500], [0.0000, 0.0000, 0.5000], [0.0000, 0.5000, 0.0000], [0.0000, 0.5000, 0.5000], [0.5000, 0.5000, 0.0000], [0.1047, 0.4106, 0.2767], [0.1047, 0.8280, 0.6941], [0.1437, 0.8937, 0.2500], [0.2900, 0.5400, 0.7500], [0.3661, 0.1720, 0.7767], [0.3661, 0.5894, 0.1941], [0.6339, 0.4106, 0.8059], [0.6339, 0.8280, 0.2233], [0.7100, 0.4600, 0.2500], [0.8563, 0.1063, 0.7500], [0.8953, 0.1720, 0.3059], [0.8953, 0.5894, 0.7233]]}


{"formula": "AcGeHPt", "functional": "PBE-GGA", "state": "relaxed", "space_group": "No. 156", "energy_ev_per_atom": -5.33, "dos_at_fermi_per_ev_atom": 0.3714, "lattice_angstrom": [[4.4409, 0.0000, 0.0000], [-2.2205, 3.8459, 0.0000], [0.0000, 0.0000, 4.5406]], "species": ["Ac", "Ge", "H", "Pt"], "frac_coords": [[0.0000, 0.0000, 0.0000], [0.6667, 0.3333, 0.5232], [0.3333, 0.6667, 0.1024], [0.3333, 0.6667, 0.4798]]}


{"formula": "AcGeHRh2", "functional": "PBE-GGA", "state": "relaxed", "space_group": "No. 63", "energy_ev_per_atom": -6.03, "dos_at_fermi_per_ev_atom": 0.6840, "lattice_angstrom": [[2.0342, -5.6761, 0.0000], [2.0342, 5.6761, 0.0000], [0.0000, 0.0000, 7.2746]], "species": ["Ac", "Ac", "Ge", "Ge", "H", "H", "Rh", "Rh", "Rh", "Rh"], "frac_coords": [[0.0640, 0.9360, 0.7500], [0.9360, 0.0640, 0.2500], [0.2161, 0.7839, 0.2500], [0.7839, 0.2161, 0.7500], [0.5000, 0.5000, 0.0000], [0.5000, 0.5000, 0.5000], [0.3401, 0.6599, 0.5519], [0.3401, 0.6599, 0.9481], [0.6599, 0.3401, 0.0519], [0.6599, 0.3401, 0.4481]]}


Record order is preserved below.
Magnetic moment: 0.00 0.00 0.00 μB/f.u.